CdHgPt: relaxed, GGA-PBE.

a b c (Å): 5.3564 5.3564 5.3564
angles (deg): 147.57 135.50 56.13
With the nearest neighbours (Å) after each atom.
Fractional coordinates of all 3 atoms:
Cd1 0.0000 0.0000 0.0000  4 Pt 2.89, 2 Cd 2.99, 5 Hg 3.00-3.06
Hg1 0.3170 0.3170 0.0000  5 Pt 2.97-3.15, 2 Hg 2.99, 5 Cd 3.00-3.06
Pt1 0.6502 0.6502 0.0000  4 Cd 2.89, 5 Hg 2.97-3.15, 2 Pt 2.99

Output
- Formation energy: -0.18 eV/f.u.
- Space group: No. 44
- Spin magnetization: 0.000 μB per atom
- Relative energy among the computed polymorphs: 0.133 eV/atom

CdHgPt2: relaxed, GGA-PBE.

a b c (Å): 4.8814 3.0136 5.2305
angles (deg): 90.00 110.50 90.00
With the nearest neighbours (Å) after each atom.
Fractional coordinates of all 4 atoms:
Cd1 0.0000 0.0000 0.0000  6 Pt 2.87-2.89, 2 Cd 3.01, 4 Hg 3.02
Hg1 0.0000 0.5000 0.5000  6 Pt 2.87-2.89, 2 Hg 3.01, 4 Cd 3.02
Pt1 0.5000 0.0000 0.5000  4 Hg 2.87, 2 Cd 2.89, 6 Pt 3.01-3.02
Pt2 0.5000 0.5000 0.0000  4 Cd 2.87, 2 Hg 2.89, 6 Pt 3.01-3.02

Output
- Formation energy: -0.16 eV/f.u.
- Space group: No. 10
- Spin magnetization: 0.000 μB per atom

CdHg2Pt: relaxed, GGA-PBE.

a b c (Å): 5.3532 5.3532 5.3532
angles (deg): 133.62 133.45 67.82
With the nearest neighbours (Å) after each atom.
Fractional coordinates of all 4 atoms:
Cd1 0.0000 0.0000 0.0000  8 Hg 2.99-3.07, 4 Pt 3.06-3.07
Hg1 0.4990 0.4990 0.0000  4 Cd 2.99, 4 Pt 3.06-3.07, 4 Hg 3.06-3.07
Hg2 0.7495 0.2495 0.5000  4 Pt 2.99, 4 Cd 3.06-3.07, 4 Hg 3.06-3.07
Pt1 0.2494 0.7494 0.5000  8 Hg 2.99-3.07, 4 Cd 3.06-3.07

Output
- Formation energy: 0.09 eV/f.u.
- Space group: No. 44
- Spin magnetization: 0.000 μB per atom

CdHg2Pt: relaxed, GGA-PBE.

a b c (Å): 5.4746 5.4746 5.0327
angles (deg): 105.49 105.49 34.02
With the nearest neighbours (Å) after each atom.
Fractional coordinates of all 4 atoms:
Cd1 0.0000 0.0000 0.0000  4 Pt 2.98, 6 Hg 3.09-3.17, 2 Cd 3.20
Hg1 0.2332 0.2332 0.7359  2 Pt 2.88, 6 Hg 2.97-3.20, 3 Cd 3.09-3.17
Hg2 0.7668 0.7668 0.2641  2 Pt 2.88, 6 Hg 2.97-3.20, 3 Cd 3.09-3.17
Pt1 0.5000 0.5000 0.5000  4 Hg 2.88, 4 Cd 2.98, 2 Pt 3.20

Output
- Formation energy: 0.15 eV/f.u.
- Space group: No. 12
- Spin magnetization: 0.000 μB per atom

CdHg2Pt: relaxed, GGA-PBE.

a b c (Å): 4.8339 4.8339 4.8339
angles (deg): 60.00 60.00 60.00
With the nearest neighbours (Å) after each atom.
Fractional coordinates of all 4 atoms:
Cd1 0.0000 0.0000 0.0000  4 Hg 2.96, 4 Pt 2.96
Hg1 0.5000 0.5000 0.5000  4 Pt 2.96, 4 Hg 2.96
Hg2 0.7500 0.7500 0.7500  4 Hg 2.96, 4 Cd 2.96
Pt1 0.2500 0.2500 0.2500  4 Hg 2.96, 4 Cd 2.96

Output
- Formation energy: 0.32 eV/f.u.
- Space group: No. 216
- Spin magnetization: 0.000 μB per atom

Cd2Hg2Pt: relaxed, GGA-PBE.

a b c (Å): 7.1202 7.1202 4.6150
angles (deg): 90.00 90.00 90.00
With the nearest neighbours (Å) after each atom.
Fractional coordinates of all 10 atoms:
Cd1 0.1518 0.3482 0.0000  2 Pt 2.70, 2 Hg 2.99
Cd2 0.3482 0.8482 0.0000  2 Pt 2.70, 2 Hg 2.99
Cd3 0.6518 0.1518 0.0000  2 Pt 2.70, 2 Hg 2.99
Cd4 0.8482 0.6518 0.0000  2 Pt 2.70, 2 Hg 2.99
Hg1 0.1598 0.6598 0.5000  6 Cd 2.99-3.20, 1 Hg 3.22
Hg2 0.3402 0.1598 0.5000  6 Cd 2.99-3.20, 1 Hg 3.22
Hg3 0.6598 0.8402 0.5000  6 Cd 2.99-3.20, 1 Hg 3.22
Hg4 0.8402 0.3402 0.5000  6 Cd 2.99-3.20, 1 Hg 3.22
Pt1 0.0000 0.0000 0.0000  4 Cd 2.70
Pt2 0.5000 0.5000 0.0000  4 Cd 2.70

Output
- Formation energy: 0.66 eV/f.u.
- Space group: No. 127
- Spin magnetization: 0.000 μB per atom
- Relative energy among the computed polymorphs: 0.000 eV/atom

CdHgPt2: relaxed, GGA-PBE.

a b c (Å): 5.1223 5.1223 5.1223
angles (deg): 132.45 132.45 69.51
With the nearest neighbours (Å) after each atom.
Fractional coordinates of all 4 atoms:
Cd1 0.0000 0.0000 0.0000  8 Pt 2.92-2.95, 4 Hg 2.95
Hg1 0.2500 0.7500 0.5000  8 Pt 2.92-2.95, 4 Cd 2.95
Pt1 0.5000 0.5000 0.0000  4 Cd 2.92, 4 Pt 2.95, 4 Hg 2.95
Pt2 0.7500 0.2500 0.5000  4 Hg 2.92, 4 Pt 2.95, 4 Cd 2.95

Output
- Formation energy: -0.28 eV/f.u.
- Space group: No. 119
- Spin magnetization: 0.000 μB per atom

CdHgPt: relaxed, GGA-PBE.

a b c (Å): 4.7119 4.7119 3.0058
angles (deg): 90.00 90.00 120.00
With the nearest neighbours (Å) after each atom.
Fractional coordinates of all 3 atoms:
Cd1 0.0000 0.0000 0.0000  6 Pt 2.97-3.28, 6 Hg 2.97-3.27, 2 Cd 3.01
Hg1 0.6667 0.3333 0.3954  3 Pt 2.79, 3 Cd 2.97, 2 Hg 3.01
Pt1 0.3333 0.6667 0.6072  3 Hg 2.79, 3 Cd 2.97, 2 Pt 3.01

Output
- Formation energy: -0.09 eV/f.u.
- Space group: No. 156
- Spin magnetization: 0.000 μB per atom
- Relative energy among the computed polymorphs: 0.163 eV/atom

Q: What is the formula in the first record?
A: CdHgPt

Please write out number 1 again, unchanged.
CdHgPt: relaxed, GGA-PBE.

a b c (Å): 5.3564 5.3564 5.3564
angles (deg): 147.57 135.50 56.13
With the nearest neighbours (Å) after each atom.
Fractional coordinates of all 3 atoms:
Cd1 0.0000 0.0000 0.0000  4 Pt 2.89, 2 Cd 2.99, 5 Hg 3.00-3.06
Hg1 0.3170 0.3170 0.0000  5 Pt 2.97-3.15, 2 Hg 2.99, 5 Cd 3.00-3.06
Pt1 0.6502 0.6502 0.0000  4 Cd 2.89, 5 Hg 2.97-3.15, 2 Pt 2.99

Output
- Formation energy: -0.18 eV/f.u.
- Space group: No. 44
- Spin magnetization: 0.000 μB per atom
- Relative energy among the computed polymorphs: 0.133 eV/atom